DFT (PBEsol) results for crystalline InSnHg2 at its relaxed geometry.

```
InSnHg2
1.0
-1.732 -3.806 -1.091
1.464 0.491 -4.036
9.307 -3.297 5.287
In Hg Sn
2 4 2
Cartesian
3.720 -4.380 0.817
-0.134 -1.658 -2.564
1.362 -3.967 -1.145
2.956 -1.826 -2.620
6.811 -4.545 0.765
6.948 -2.887 3.321
5.318 -2.232 -0.656
0.000 0.000 0.000
```

Results
- density of states at the Fermi level (states/eV/cell) = 3.89
- space-group type = I-42d
- final energy (eV per formula unit) = -8.30

DFT (PBEsol) results for crystalline SrInHg3 at its relaxed geometry.

```
SrInHg3
1.0
5.904 0.000 0.000
0.000 5.904 0.000
0.000 0.000 5.904
Sr Hg In
1 3 1
Cartesian
0.000 0.000 0.000
0.000 2.952 0.000
0.000 0.000 2.952
2.952 0.000 0.000
2.952 2.952 2.952
```

Results
- density of states at the Fermi level (states/eV/cell) = 6.33
- space-group type = Pm-3m
- final energy (eV per formula unit) = -4.29

DFT (PBEsol) results for crystalline SrInHg2 at its relaxed geometry.

```
SrInHg2
1.0
3.685 0.000 -0.009
0.000 4.837 0.000
-1.259 0.000 6.036
Hg In Sr
2 1 1
Cartesian
1.855 0.000 6.014
2.719 2.418 1.579
1.562 0.000 2.766
-0.069 2.418 4.709
```

Results
- density of states at the Fermi level (states/eV/cell) = 2.01
- space-group type = Pm
- final energy (eV per formula unit) = -7.33

DFT (PBEsol) results for crystalline Sr2InHg at its relaxed geometry.

```
Sr2InHg
1.0
-1.561 -3.645 0.986
-0.191 -2.966 -2.803
8.138 -5.233 2.007
Hg In Sr
1 1 2
Cartesian
3.193 -5.922 0.095
0.000 0.000 0.000
1.679 -2.990 0.072
4.706 -8.854 0.117
```

Results
- density of states at the Fermi level (states/eV/cell) = 3.74
- space-group type = R-3m
- final energy (eV per formula unit) = -8.43

DFT (PBEsol) results for crystalline Sr2InHg at its relaxed geometry.

```
Sr2InHg
1.0
3.845 0.000 0.000
0.000 5.559 0.000
-1.923 -2.779 5.817
Sr Hg In
2 1 1
Cartesian
1.923 2.779 5.617
1.923 0.000 3.293
1.923 2.779 0.228
0.000 2.779 2.497
```

Results
- density of states at the Fermi level (states/eV/cell) = 1.87
- space-group type = Imm2
- final energy (eV per formula unit) = -8.98

DFT (PBEsol) results for crystalline Sr2InHg at its relaxed geometry.

```
Sr2InHg
1.0
3.889 0.000 0.000
0.000 5.648 0.000
0.000 0.000 5.650
Sr Hg In
2 1 1
Cartesian
0.000 0.000 0.696
0.000 2.824 3.544
1.944 0.000 3.508
1.944 2.824 0.727
```

Results
- density of states at the Fermi level (states/eV/cell) = 2.28
- space-group type = Pmm2
- final energy (eV per formula unit) = -9.30

DFT (PBEsol) results for crystalline SrInHg2 at its relaxed geometry.

```
SrInHg2
1.0
3.879 0.000 0.070
0.000 3.879 0.000
-0.138 0.000 7.011
Sr Hg In
1 2 1
Cartesian
1.870 1.939 3.541
-0.103 0.000 5.402
3.844 0.000 1.680
1.939 1.939 0.035
```

Results
- density of states at the Fermi level (states/eV/cell) = 2.18
- space-group type = P2/m
- final energy (eV per formula unit) = -7.49

DFT (PBEsol) results for crystalline SrInHg4 at its relaxed geometry.

```
SrInHg4
1.0
6.011 0.000 0.000
3.006 5.206 0.000
3.006 1.735 4.908
Sr Hg In
1 4 1
Cartesian
0.000 0.000 0.000
4.510 2.604 1.841
6.011 3.471 4.293
7.512 2.604 1.841
6.011 5.204 1.841
9.017 5.206 3.681
```

Results
- density of states at the Fermi level (states/eV/cell) = 2.04
- space-group type = F-43m
- final energy (eV per formula unit) = -8.66